A plane-wave DFT calculation with PBE with a Hubbard U was carried out for a geometry-optimized FeAuI2O structure.

Computed properties:
volume: 134 Å³/f.u.
energy: -2.94 eV/atom

abc: 5.777 5.777 4.027
angles: 90.00 90.00 90.00
Space group P4/mmm (No. 123)
One atom of each set of equivalent atoms:
Fe 0.000 0.000 0.000 x1
Au 0.500 0.500 0.500 x1
I 0.000 0.500 0.500 x2
O 0.500 0.500 0.000 x1